Entry 1:
# PdIN2O

Crystalline PdIN2O at its relaxed geometry (PBE, Alexandria).

Cell: 3.914 3.914 4.846 Å, 90.00 90.00 90.00°
Site moments in Bohr magnetons follow the coordinates.
Element x y z (fractional)
I (0.000, 0.000, 0.500)  0.08
O (0.000, 0.000, 0.000)  -0.15
Pd (0.500, 0.500, 0.500)  0.20
N (0.000, 0.500, 0.000)  1.18
N (0.500, 0.000, 0.000)  1.18

Results
Calculated total energy: -17.537 eV for the cell shown
Formation energy from raw total energies: 2.1629 eV/atom


Entry 2:
# Pa2CdBr8

Crystalline Pa2CdBr8 at its relaxed geometry (PBE, Alexandria).

Cell: 10.641 7.804 7.804 Å, 118.18 88.06 88.06°
Site moments in Bohr magnetons follow the coordinates.
Element x y z (fractional)
Pa (0.303, 0.092, 0.092)  0.97
Pa (0.697, 0.908, 0.908)  0.97
Cd (0.000, 0.000, 0.000)  0.00
Br (0.761, 0.172, 0.796)  -0.03
Br (0.239, 0.204, 0.828)  -0.03
Br (0.542, 0.228, 0.228)  -0.01
Br (0.458, 0.772, 0.772)  -0.01
Br (0.761, 0.796, 0.172)  -0.03
Br (0.239, 0.828, 0.204)  -0.03
Br (0.188, 0.401, 0.401)  -0.02
Br (0.812, 0.599, 0.599)  -0.02

Results
Calculated total energy: -46.172 eV for the cell shown
Formation energy from raw total energies: -1.1711 eV/atom


Entry 3:
# Mn2CoWN

Crystalline Mn2CoWN at its relaxed geometry (PBE, Alexandria).

Cell: 3.759 3.759 4.057 Å, 90.00 90.00 90.00°
Site moments in Bohr magnetons follow the coordinates.
Element x y z (fractional)
Mn (0.000, 0.500, 0.000)  1.63
Mn (0.500, 0.000, 0.000)  1.63
Co (0.500, 0.500, 0.500)  0.90
W (0.000, 0.000, 0.500)  -0.29
N (0.000, 0.000, 0.000)  -0.01

Results
Calculated total energy: -46.886 eV for the cell shown
Formation energy from raw total energies: -0.0326 eV/atom


Entry 4:
# AcPaGaSn

Crystalline AcPaGaSn at its relaxed geometry (PBE, Alexandria).

Cell: 5.444 5.444 5.444 Å, 60.00 60.00 60.00°
Site moments in Bohr magnetons follow the coordinates.
Element x y z (fractional)
Ac (0.250, 0.250, 0.250)  0.11
Pa (0.750, 0.750, 0.750)  1.30
Sn (0.500, 0.500, 0.500)  0.04
Ga (0.000, 0.000, 0.000)  0.05

Results
Calculated total energy: -21.149 eV for the cell shown
E_form: -0.129 eV/atom


Entry 5:
# Pm2Zn2CuPd5

Crystalline Pm2Zn2CuPd5 at its relaxed geometry (PBE, Alexandria).

Cell: 3.798 9.711 9.711 Å, 90.00 90.00 90.00°
Element x y z (fractional)
Pm (0.000, 0.679, 0.179)
Pm (0.000, 0.321, 0.821)
Pm (0.000, 0.179, 0.321)
Pm (0.000, 0.821, 0.679)
Zn (0.000, 0.120, 0.620)
Zn (0.000, 0.880, 0.380)
Zn (0.000, 0.620, 0.880)
Zn (0.000, 0.380, 0.120)
Cu (0.000, 0.000, 0.000)
Cu (0.000, 0.500, 0.500)
Pd (0.500, 0.200, 0.063)
Pd (0.500, 0.800, 0.937)
Pd (0.500, 0.063, 0.800)
Pd (0.500, 0.700, 0.437)
Pd (0.500, 0.937, 0.200)
Pd (0.500, 0.300, 0.563)
Pd (0.500, 0.563, 0.700)
Pd (0.500, 0.437, 0.300)
Pd (0.500, 0.500, 0.000)
Pd (0.500, 0.000, 0.500)

Results
Calculated total energy: -95.441 eV for the cell shown
E_form: -0.561 eV/atom


Entry 6:
# HoTc2C

Crystalline HoTc2C at its relaxed geometry (PBE, Alexandria).

Cell: 3.194 3.194 7.370 Å, 77.49 77.49 60.00°
Element x y z (fractional)
C (0.000, 0.000, 0.000)
Ho (0.500, 0.500, 0.500)
Tc (0.715, 0.715, 0.855)
Tc (0.285, 0.285, 0.145)

Results
Calculated total energy: -33.828 eV for the cell shown
E_form: 0.177 eV/atom
Excess energy over the best structure of this formula in the dataset: 137.1 meV per atom